The following is a DFT calculation (PBE) of crystalline DyYAg4 at its relaxed geometry.

```
DyYAg4
1.0
3.718 0.000 0.000
0.000 3.718 0.000
0.000 0.000 9.232
Dy Y Ag
1 1 4
direct
0.000 0.000 0.000
0.500 0.500 0.500
0.000 0.000 0.330
0.000 0.000 0.670
0.500 0.500 0.170
0.500 0.500 0.830
```

Values from the calculation:
Formation energy, eV/atom: -0.331
Calculated density, g cm⁻³: 8.89

The following is a DFT calculation (PBE) of crystalline DyYSbF2 at its relaxed geometry.

```
DyYSbF2
1.0
4.048 0.000 0.000
-2.024 3.506 0.000
0.000 0.000 7.005
Dy Y Sb F
1 1 1 2
direct
0.000 0.000 0.000
0.333 0.667 0.537
0.667 0.333 0.269
0.000 0.000 0.670
0.333 0.667 0.872
```

Values from the calculation:
Calculated density, g cm⁻³: 6.87
DFT total energy, Ha/atom: -0.229

The following is a DFT calculation (PBE) of crystalline BPt2Au at its relaxed geometry.

```
BPt2Au
1.0
0.000 3.082 3.082
3.082 0.000 3.082
3.082 3.082 0.000
B Pt Au
1 2 1
direct
0.000 0.000 0.000
0.500 0.500 0.500
0.750 0.750 0.750
0.250 0.250 0.250
```

Values from the calculation:
Calculated density, g cm⁻³: 16.96
DFT total energy, Ha/atom: -0.175

The following is a DFT calculation (PBE) of crystalline GdFe2GeP at its relaxed geometry.

```
GdFe2GeP
1.0
-1.966 1.966 4.878
1.966 -1.966 4.878
1.966 1.966 -4.878
Gd Fe Ge P
1 2 1 1
direct
0.000 0.000 0.000
0.261 0.761 0.500
0.761 0.261 0.500
0.631 0.631 0.000
0.363 0.363 0.000
```

Values from the calculation:
Calculated density, g cm⁻³: 8.20
DFT total energy, Ha/atom: -0.258

The following is a DFT calculation (PBE) of crystalline LuTlCoPt at its relaxed geometry.

```
LuTlCoPt
1.0
0.000 3.318 3.318
3.318 0.000 3.318
3.318 3.318 0.000
Lu Tl Co Pt
1 1 1 1
direct
0.000 0.000 0.000
0.500 0.500 0.500
0.750 0.750 0.750
0.250 0.250 0.250
```

Values from the calculation:
Calculated density, g cm⁻³: 14.40
Offset from the most stable computed form, meV/atom: 0

The following is a DFT calculation (PBE) of crystalline LaPrSi2Ni2 at its relaxed geometry.

```
LaPrSi2Ni2
1.0
4.149 0.000 0.000
0.000 4.149 0.000
0.000 0.000 6.896
La Pr Si Ni
1 1 2 2
direct
0.000 0.000 0.000
0.500 0.500 0.631
0.000 0.000 0.493
0.500 0.500 0.148
0.000 0.500 0.318
0.500 0.000 0.318
```

Values from the calculation:
Calculated density, g cm⁻³: 6.34
DFT total energy, Ha/atom: -0.220